(1)
6
Lattice="3.1991 0.0000 0.0000 0.0000 3.1991 0.0000 0.0000 0.0000 5.8925" Properties=species:S:1:pos:R:3 comment="IrC2, relaxed, DFT PBE-GGA" ef_mev_per_atom=2000 dft_energy_ev_per_cell=-42.62 n_ef_per_ev_cell=2.21 volume_a3_per_cell=60 pbc="T T T"
Ir 0.7998 0.7998 1.2713
Ir 2.3993 2.3993 4.6212
C 0.7998 0.7998 3.4495
C 0.7998 2.3993 0.0000
C 2.3993 0.7998 0.0000
C 2.3993 2.3993 2.4430

(2)
4
Lattice="0.0000 3.9886 3.9886 3.9886 0.0000 3.9886 3.9886 3.9886 0.0000" Properties=species:S:1:pos:R:3 comment="AcEuDyAg, relaxed, DFT PBE-GGA" ef_mev_per_atom=181 dft_energy_ev_per_cell=-21.11 n_ef_per_ev_cell=4.36 volume_a3_per_cell=127 pbc="T T T"
Ac 0.0000 0.0000 0.0000
Eu 1.9943 1.9943 1.9943
Dy 5.9829 5.9829 5.9829
Ag 3.9886 3.9886 3.9886

(3)
3
Lattice="3.4860 0.0000 0.0000 -1.7430 3.0189 0.0000 0.0000 0.0000 4.6672" Properties=species:S:1:pos:R:3 comment="AcFeC, relaxed, DFT PBE-GGA" ef_mev_per_atom=335 dft_energy_ev_per_cell=-20.79 n_ef_per_ev_cell=2.83 volume_a3_per_cell=49 pbc="T T T"
Ac 0.0000 0.0000 0.0000
Fe 1.7430 1.0063 2.3336
C 0.0000 2.0126 2.3336

(4)
8
Lattice="-3.8149 3.8149 2.7000 3.8149 -3.8149 2.7000 3.8149 3.8149 -2.7000" Properties=species:S:1:pos:R:3 comment="CdRe2Sn, relaxed, DFT PBE-GGA" ef_mev_per_atom=1278 dft_energy_ev_per_cell=-49.40 n_ef_per_ev_cell=6.44 volume_a3_per_cell=157 pbc="T T T"
Cd 0.0000 0.0000 0.0000
Cd 0.0000 3.8149 1.3500
Re 1.9075 -1.7747 2.0250
Re 2.0402 1.9075 0.6750
Re 1.9075 5.5896 -0.6750
Re 1.7747 1.9075 3.3749
Sn 3.8149 0.0000 1.3500
Sn 0.0000 0.0000 2.7000

(5)
9
Lattice="5.2433 0.0000 0.0000 -2.6217 4.5409 0.0000 0.0000 0.0000 5.0128" Properties=species:S:1:pos:R:3 comment="SmRu2O6, relaxed, DFT PBE-GGA" raw_formation_energy_ev_per_atom=-1.5999 dft_energy_ev_per_cell=-67.42 n_ef_per_ev_cell=3.65 volume_a3_per_cell=119 pbc="T T T"
Sm 0.0000 0.0000 0.0000
Ru 0.0000 3.0272 2.5064
Ru 2.6217 1.5136 2.5064
O -0.9394 1.6270 1.4350
O -1.6823 2.9138 3.5779
O 1.8787 0.0000 1.4350
O 0.9394 1.6270 3.5779
O 3.3646 0.0000 3.5779
O 1.6823 2.9138 1.4350

(6)
10
Lattice="5.2566 0.0000 0.0000 0.0000 5.2566 0.0000 0.0000 0.0000 5.2287" Properties=species:S:1:pos:R:3 comment="PuPa2GeN6, relaxed, DFT PBE-GGA" raw_formation_energy_ev_per_atom=-0.7461 dft_energy_ev_per_cell=-95.35 n_ef_per_ev_cell=10.69 volume_a3_per_cell=144 pbc="T T T"
Pu 0.0000 0.0000 0.0000
Pa 0.0000 2.6283 2.3347
Pa 2.6283 0.0000 2.3347
Ge 2.6283 2.6283 0.1515
N 0.0000 0.0000 3.0635
N 1.3615 1.3615 1.0113
N 1.3615 3.8950 1.0113
N 2.6283 2.6283 3.4995
N 3.8950 1.3615 1.0113
N 3.8950 3.8950 1.0113

(7)
5
Lattice="4.3963 0.0000 0.0000 0.0000 4.3963 0.0000 0.0000 0.0000 4.3963" Properties=species:S:1:pos:R:3 comment="NaFe3Au, relaxed, DFT PBE-GGA" ef_mev_per_atom=1761 dft_energy_ev_per_cell=-21.18 n_ef_per_ev_cell=4.87 volume_a3_per_cell=85 pbc="T T T"
Na 0.0000 0.0000 0.0000
Fe 0.0000 0.0000 2.1981
Fe 0.0000 2.1981 0.0000
Fe 2.1981 0.0000 0.0000
Au 2.1981 2.1981 2.1981

(8)
8
Lattice="-2.9689 2.9689 5.9747 2.9689 -2.9689 5.9747 2.9689 2.9689 -5.9747" Properties=species:S:1:pos:R:3 comment="Sm4GaSiSe2, relaxed, DFT PBE-GGA" raw_formation_energy_ev_per_atom=-1.2431 dft_energy_ev_per_cell=-44.24 n_ef_per_ev_cell=4.54 volume_a3_per_cell=211 pbc="T T T"
Sm 0.0000 0.0000 2.9466
Sm 0.0000 2.9689 0.0180
Sm 0.0000 0.0000 9.0028
Sm 0.0000 2.9689 5.9567
Ga 0.0000 0.0000 5.9747
Si 0.0000 2.9689 2.9873
Se 0.0000 0.0000 0.0000
Se 2.9689 0.0000 2.9873

Copy entry 6 word for word.
10
Lattice="5.2566 0.0000 0.0000 0.0000 5.2566 0.0000 0.0000 0.0000 5.2287" Properties=species:S:1:pos:R:3 comment="PuPa2GeN6, relaxed, DFT PBE-GGA" raw_formation_energy_ev_per_atom=-0.7461 dft_energy_ev_per_cell=-95.35 n_ef_per_ev_cell=10.69 volume_a3_per_cell=144 pbc="T T T"
Pu 0.0000 0.0000 0.0000
Pa 0.0000 2.6283 2.3347
Pa 2.6283 0.0000 2.3347
Ge 2.6283 2.6283 0.1515
N 0.0000 0.0000 3.0635
N 1.3615 1.3615 1.0113
N 1.3615 3.8950 1.0113
N 2.6283 2.6283 3.4995
N 3.8950 1.3615 1.0113
N 3.8950 3.8950 1.0113

- Which formula does entry 4 have?
  CdRe2Sn